No. 1
VASP calculation (PBEsol) on Tm2Ge5Rh3 after structural relaxation.

Structure (POSCAR):
```
Tm2Ge5Rh3
1.0
5.7475 0.0261 0.0311
-2.6476 7.7647 -0.1178
-2.6476 -1.4632 7.6265
Ge Tm Rh
10 4 6
Direct
0.1697 0.2656 0.0790
0.7500 0.5138 0.4862
0.7500 0.2049 0.7951
0.7500 0.7794 0.2206
0.6697 0.0790 0.2656
0.2500 0.4862 0.5138
0.8303 0.7344 0.9210
0.2500 0.7951 0.2049
0.3303 0.9210 0.7344
0.2500 0.2206 0.7794
0.7367 0.8711 0.5890
0.2367 0.5890 0.8711
0.2633 0.1289 0.4110
0.7633 0.4110 0.1289
0.1256 0.7385 0.4522
0.7500 0.0008 0.9992
0.6256 0.4522 0.7385
0.3744 0.5478 0.2615
0.8744 0.2615 0.5478
0.2500 0.9992 0.0008
```

Output
Symmetry   C2/c
Crystal system   monoclinic


No. 2
VASP calculation (PBEsol) on Tm5Ge10Rh4 after structural relaxation.

Structure (POSCAR):
```
Tm5Ge10Rh4
1.0
-1.2754 0.0489 4.0089
-8.5251 -9.1821 -2.6004
8.7191 -8.9117 2.8827
Ge Tm Rh
20 10 8
Direct
0.0000 0.8374 0.1993
0.0000 0.4332 0.9332
0.5000 0.4967 0.6570
0.5000 0.6570 0.5033
0.0000 0.8007 0.8374
0.5000 0.3430 0.4967
0.0000 0.6626 0.6993
0.0000 0.1993 0.1626
0.0000 0.0668 0.4332
0.0000 0.1626 0.8007
0.5000 0.8430 0.0033
0.0000 0.9332 0.5668
0.5000 0.5033 0.3430
0.5000 0.0033 0.1570
0.0000 0.5668 0.0668
0.5000 0.9967 0.8430
0.0000 0.6993 0.3374
0.5000 0.1570 0.9967
0.0000 0.3007 0.6626
0.0000 0.3374 0.3007
0.5000 0.6135 0.8865
0.5000 0.1741 0.3259
0.5000 0.3865 0.1135
0.5000 0.6741 0.1741
0.5000 0.8259 0.6741
0.0000 0.5000 0.5000
0.5000 0.1135 0.6135
0.5000 0.8865 0.3865
0.0000 0.0000 0.0000
0.5000 0.3259 0.8259
0.0000 0.2536 0.4795
0.0000 0.7464 0.5205
0.0000 0.2464 0.9795
0.0000 0.4795 0.7464
0.0000 0.7536 0.0205
0.0000 0.0205 0.2464
0.0000 0.5205 0.2536
0.0000 0.9795 0.7536
```

Output
Symmetry   P4/mbm
Crystal system   tetragonal


Number 1: D(E_F) 0.440 states/eV/atom, total moment 0.000 μB/f.u., formation enthalpy at 0 K -8.053 eV per formula unit. Number 2: D(E_F) 0.368 states/eV/atom, total moment 0.000 μB/f.u., formation enthalpy at 0 K -16.053 eV per formula unit.